1.
# LiZrNi (SCAN, PBEsol geometry)
# **Energy of formation from the pure elements**: 134.6 meV per atom
# **Space group**: No. 216
# **Energy**: -48.9 eV per formula unit
# **DOS(E_F)**: 1.073 states/eV/atom
data_LiZrNi
_space_group_name_H-M_alt 'P 1'
_space_group_IT_number 1
_space_group_name_Hall 'P 1'
_cell_length_a 5.9086
_cell_length_b 5.9086
_cell_length_c 5.9086
_cell_angle_alpha 90.00
_cell_angle_beta 90.00
_cell_angle_gamma 90.00
loop_
_atom_site_label
_atom_site_type_symbol
_atom_site_fract_x
_atom_site_fract_y
_atom_site_fract_z
Li1 Li 0.0000 0.0000 0.0000
Li2 Li 0.0000 0.5000 0.5000
Li3 Li 0.5000 0.0000 0.5000
Li4 Li 0.5000 0.5000 0.0000
Zr1 Zr 0.0000 0.0000 0.5000
Zr2 Zr 0.0000 0.5000 0.0000
Zr3 Zr 0.5000 0.0000 0.0000
Zr4 Zr 0.5000 0.5000 0.5000
Ni1 Ni 0.2500 0.2500 0.7500
Ni2 Ni 0.2500 0.7500 0.2500
Ni3 Ni 0.7500 0.2500 0.2500
Ni4 Ni 0.7500 0.7500 0.7500

---

2.
# Li4NpO5 (SCAN, PBEsol geometry)
# **Space group**: No. 87
# **Energy**: -174.0 eV per formula unit
# **DOS(E_F)**: 0.000 states/eV/atom
# **Energy relative to the elements, uncorrected**: -2.624 eV/atom
data_Li4NpO5
_space_group_name_H-M_alt 'P 1'
_space_group_IT_number 1
_space_group_name_Hall 'P 1'
_cell_length_a 5.1824
_cell_length_b 5.1824
_cell_length_c 5.1824
_cell_angle_alpha 100.27
_cell_angle_beta 100.27
_cell_angle_gamma 130.05
loop_
_atom_site_label
_atom_site_type_symbol
_atom_site_fract_x
_atom_site_fract_y
_atom_site_fract_z
Li1 Li 0.0867 0.3115 0.3982
Li2 Li 0.3115 0.9133 0.2248
Li3 Li 0.6885 0.0867 0.7752
Li4 Li 0.9133 0.6885 0.6018
Np1 Np 0.5000 0.5000 0.0000
O1 O 0.0000 0.0000 0.0000
O2 O 0.2130 0.5887 0.8017
O3 O 0.4113 0.2130 0.6243
O4 O 0.5887 0.7870 0.3757
O5 O 0.7870 0.4113 0.1983

---

3.
# LiO8 (SCAN, PBEsol geometry)
# **Distance to the lowest polymorph of the same formula**: 0 meV/atom
# **Space group**: No. 1
# **Energy**: -54.1 eV per formula unit
# **DOS(E_F)**: 0.186 states/eV/atom
# **Energy relative to the elements, uncorrected**: -0.202 eV/atom
data_LiO8
_space_group_name_H-M_alt 'P 1'
_space_group_IT_number 1
_space_group_name_Hall 'P 1'
_cell_length_a 4.8444
_cell_length_b 4.8653
_cell_length_c 4.9039
_cell_angle_alpha 103.86
_cell_angle_beta 102.43
_cell_angle_gamma 118.09
loop_
_atom_site_label
_atom_site_type_symbol
_atom_site_fract_x
_atom_site_fract_y
_atom_site_fract_z
Li1 Li 0.0000 0.0000 0.0000
O1 O 0.0188 0.6655 0.6251
O2 O 0.0408 0.6682 0.2004
O3 O 0.3671 0.3516 0.8834
O4 O 0.3863 0.3564 0.4552
O5 O 0.5303 0.6686 0.9997
O6 O 0.5513 0.6710 0.5610
O7 O 0.8379 0.3528 0.5126
O8 O 0.8551 0.3514 0.0860

---

4.
# LiO3 (SCAN, PBEsol geometry)
# **Space group**: No. 44
# **Energy**: -23.7 eV per formula unit
# **DOS(E_F)**: 0.170 states/eV/atom
# **Energy relative to the elements, uncorrected**: -0.658 eV/atom
data_LiO3
_space_group_name_H-M_alt 'P 1'
_space_group_IT_number 1
_space_group_name_Hall 'P 1'
_cell_length_a 2.7059
_cell_length_b 4.9758
_cell_length_c 5.5021
_cell_angle_alpha 90.00
_cell_angle_beta 90.00
_cell_angle_gamma 90.00
loop_
_atom_site_label
_atom_site_type_symbol
_atom_site_fract_x
_atom_site_fract_y
_atom_site_fract_z
Li1 Li 0.0000 0.0000 0.0000
Li2 Li 0.5000 0.5000 0.5000
O1 O 0.0000 0.0000 0.4907
O2 O 0.0000 0.2229 0.3510
O3 O 0.0000 0.7771 0.3510
O4 O 0.5000 0.2771 0.8510
O5 O 0.5000 0.5000 0.9907
O6 O 0.5000 0.7229 0.8510

---

Question: What is the DOS(E_F) in the second record?
Answer: 0.000 states/eV/atom

---

Please write out number 4 again, unchanged.
# LiO3 (SCAN, PBEsol geometry)
# **Space group**: No. 44
# **Energy**: -23.7 eV per formula unit
# **DOS(E_F)**: 0.170 states/eV/atom
# **Energy relative to the elements, uncorrected**: -0.658 eV/atom
data_LiO3
_space_group_name_H-M_alt 'P 1'
_space_group_IT_number 1
_space_group_name_Hall 'P 1'
_cell_length_a 2.7059
_cell_length_b 4.9758
_cell_length_c 5.5021
_cell_angle_alpha 90.00
_cell_angle_beta 90.00
_cell_angle_gamma 90.00
loop_
_atom_site_label
_atom_site_type_symbol
_atom_site_fract_x
_atom_site_fract_y
_atom_site_fract_z
Li1 Li 0.0000 0.0000 0.0000
Li2 Li 0.5000 0.5000 0.5000
O1 O 0.0000 0.0000 0.4907
O2 O 0.0000 0.2229 0.3510
O3 O 0.0000 0.7771 0.3510
O4 O 0.5000 0.2771 0.8510
O5 O 0.5000 0.5000 0.9907
O6 O 0.5000 0.7229 0.8510

---

Question: Which formula does entry 3 have?
Answer: LiO8